Computed, not measured: a relaxed NaYPO4 crystal at the GGA-PBE level of DFT.

Lattice parameters (Å, degrees): 6.295 6.295 6.295 121.47 118.70 89.88
Fractional positions:
1 Na 0.500 0.000 0.000
2 Na 0.500 0.500 0.500
3 Y 0.000 0.000 0.000
4 Y 0.500 0.000 0.500
5 P 0.113 0.363 0.750
6 P 0.887 0.637 0.250
7 O 0.187 0.736 0.450
8 O 0.214 0.264 0.950
9 O 0.217 0.260 0.543
10 O 0.217 0.675 0.957
11 O 0.783 0.325 0.043
12 O 0.783 0.740 0.457
13 O 0.786 0.736 0.050
14 O 0.813 0.264 0.550

DOS(E_F) ... 0.16 states/eV/atom
Theoretical density ... 3.9 Mg/m³
Symmetry ... No. 74
E ... -99.3 eV/cell